No. 1
A relaxed HfMg2CI crystal. Source: Alexandria via LeMat-Bulk, functional GGA-PBE.

Summary:
D(E_F) = 0.9988 states/eV per atom
E = -2.8804 eV per atom

```
data_HfMg2CI
_chemical_formula_sum 'Hf1 Mg2 C1 I1'
_cell_length_a 5.864
_cell_length_b 5.864
_cell_length_c 5.427
_cell_angle_alpha 90.00
_cell_angle_beta 90.00
_cell_angle_gamma 90.00
_symmetry_space_group_name_H-M 'P 4/m m m'
_symmetry_Int_Tables_number 123
_symmetry_space_group_name_Hall '-P 4 2'
loop_
_atom_site_label
_atom_site_fract_x
_atom_site_fract_y
_atom_site_fract_z
Hf1 0.000 0.000 0.000
Mg1 0.000 0.500 0.000
C1 0.500 0.500 0.500
I1 0.000 0.000 0.500
```

No. 2
A relaxed Pm3Sb4Pt3 crystal. Source: Alexandria via LeMat-Bulk, functional GGA-PBE.

Summary:
D(E_F) = 0.8273 states/eV per atom
E = -5.9230 eV per atom

```
data_Pm3Sb4Pt3
_chemical_formula_sum 'Pm12 Sb16 Pt12'
_cell_length_a 9.934
_cell_length_b 9.934
_cell_length_c 9.934
_cell_angle_alpha 90.00
_cell_angle_beta 90.00
_cell_angle_gamma 90.00
_symmetry_space_group_name_H-M 'I -4 3 d'
_symmetry_Int_Tables_number 220
_symmetry_space_group_name_Hall 'I -4bd 2c 3'
loop_
_atom_site_label
_atom_site_fract_x
_atom_site_fract_y
_atom_site_fract_z
Pm1 0.000 0.250 0.875
Sb1 0.081 0.419 0.581
Pt1 0.000 0.250 0.375
```

No. 3
A relaxed Pm4ZnGe8 crystal. Source: Alexandria via LeMat-Bulk, functional GGA-PBE.

Summary:
D(E_F) = 0.3969 states/eV per atom
E = -4.9894 eV per atom
Formation energy = -0.588 eV/atom

```
data_Pm4ZnGe8
_chemical_formula_sum 'Pm4 Zn1 Ge8'
_cell_length_a 4.034
_cell_length_b 4.192
_cell_length_c 17.064
_cell_angle_alpha 90.00
_cell_angle_beta 90.00
_cell_angle_gamma 90.00
_symmetry_space_group_name_H-M 'P m m 2'
_symmetry_Int_Tables_number 25
loop_
_symmetry_equiv_pos_as_xyz
'x,y,z'
'-x,-y,z'
'-x,y,z'
'x,-y,z'
loop_
_atom_site_label
_atom_site_fract_x
_atom_site_fract_y
_atom_site_fract_z
Pm1 0.000 0.000 0.000
Pm2 0.000 0.500 0.488
Pm3 0.500 0.000 0.791
Pm4 0.500 0.500 0.281
Zn1 0.000 0.500 0.717
Ge1 0.000 0.000 0.335
Ge2 0.000 0.000 0.628
Ge3 0.000 0.500 0.138
Ge4 0.000 0.500 0.860
Ge5 0.500 0.000 0.143
Ge6 0.500 0.000 0.430
Ge7 0.500 0.500 0.627
Ge8 0.500 0.500 0.952
```

No. 4
A relaxed Co2Mo2Ir crystal. Source: Alexandria via LeMat-Bulk, functional GGA-PBE.

Summary:
D(E_F) = 1.2692 states/eV per atom
E = -8.9728 eV per atom
Formation energy = -0.026 eV/atom

```
data_Co2Mo2Ir
_chemical_formula_sum 'Co4 Mo4 Ir2'
_cell_length_a 6.861
_cell_length_b 6.861
_cell_length_c 2.838
_cell_angle_alpha 90.00
_cell_angle_beta 90.00
_cell_angle_gamma 90.00
_symmetry_space_group_name_H-M 'P 4/m b m'
_symmetry_Int_Tables_number 127
_symmetry_space_group_name_Hall '-P 4 2ab'
loop_
_atom_site_label
_atom_site_fract_x
_atom_site_fract_y
_atom_site_fract_z
Co1 0.124 0.376 0.000
Mo1 0.175 0.675 0.500
Ir1 0.000 0.000 0.000
```